Below is Ba2FeCl after structural relaxation, with properties calculated at the PBE level.

Cell lengths 5.672, 5.672, 5.672 Å; angles 60.00, 60.00, 60.00 degrees
Fractional coordinates of all 4 atoms:
Ba  0.250  0.250  0.250
Ba  0.750  0.750  0.750
Fe  0.000  0.000  0.000
Cl  0.500  0.500  0.500

Uncorrected formation energy   -196.8 meV per atom
Total magnetization   0.418 μB/atom
E_tot   -14.9 eV per formula unit
Calculated volume   129.1 Å³/f.u.
E above lowest polymorph   245.4 meV per atom
Symmetry   No. 225